Record 1
The following is a GGA-PBE calculation of an optimized crystal structure of PmSc2Bi3, from the Alexandria database.

Cell: 4.401 4.401 18.481 Å, 90.00 90.00 90.00°
Space group I4/mmm (No. 139)
One atom of each set of equivalent atoms:
Pm: 0.000 0.000 0.000 [2 per cell]
Sc: 0.000 0.000 0.335 [4 per cell]
Bi: 0.000 0.000 0.173 [4 per cell]
Bi: 0.000 0.000 0.500 [2 per cell]

Properties
Calculated total energy = -5.559 eV/atom

---

Record 2
The following is a GGA-PBE calculation of an optimized crystal structure of BaPmHo4Se8, from the Alexandria database.

Cell: 8.5741 8.5741 21.3383 Å, 90.00 90.00 120.00°
Space group R3m (No. 160, hexagonal axes)
One atom of each set of equivalent atoms:
Ba: 0.0000 0.0000 0.0000 [3 per cell]
Pm: 0.0000 0.0000 0.6296 [3 per cell]
Ho: 0.0000 0.0000 0.2531 [3 per cell]
Ho: 0.1686 0.3372 0.4603 [9 per cell]
Se: 0.0000 0.0000 0.3849 [3 per cell]
Se: 0.0000 0.0000 0.8591 [3 per cell]
Se: 0.0413 0.5206 0.3864 [9 per cell]
Se: 0.1738 0.3475 0.2064 [9 per cell]

Properties
Calculated total energy = -5.543 eV/atom

---

Record 3
The following is a GGA-PBE calculation of an optimized crystal structure of ThMgZnOs, from the Alexandria database.

Cell: 6.871 6.871 6.871 Å, 90.00 90.00 90.00°
Space group F-43m (No. 216)
One atom of each set of equivalent atoms:
Th: 0.000 0.000 0.000 [4 per cell]
Mg: 0.000 0.000 0.500 [4 per cell]
Zn: 0.250 0.250 0.750 [4 per cell]
Os: 0.250 0.250 0.250 [4 per cell]

Properties
Calculated total energy = -5.408 eV/atom

---

Record 4
The following is a GGA-PBE calculation of an optimized crystal structure of Nd12HoTm3, from the Alexandria database.

Cell: 5.141 5.141 20.504 Å, 90.00 90.00 90.00°
Space group P4/mmm (No. 123)
One atom of each set of equivalent atoms:
Nd: 0.000 0.000 0.000 [1 per cell]
Nd: 0.000 0.000 0.250 [2 per cell]
Nd: 0.000 0.000 0.500 [1 per cell]
Nd: 0.000 0.500 0.125 [4 per cell]
Nd: 0.000 0.500 0.375 [4 per cell]
Ho: 0.500 0.500 0.000 [1 per cell]
Tm: 0.500 0.500 0.250 [2 per cell]
Tm: 0.500 0.500 0.500 [1 per cell]

Properties
Calculated total energy = -4.687 eV/atom

---

Record 5
The following is a GGA-PBE calculation of an optimized crystal structure of ZnFe2Pt, from the Alexandria database.

Cell: 3.697 3.697 3.934 Å, 90.00 90.00 90.00°
Space group P4/mmm (No. 123)
One atom of each set of equivalent atoms:
Zn: 0.000 0.000 0.000 [1 per cell]
Fe: 0.000 0.500 0.500 [2 per cell]
Pt: 0.500 0.500 0.000 [1 per cell]

Properties
Calculated total energy = -6.242 eV/atom

---

Record 6
The following is a GGA-PBE calculation of an optimized crystal structure of TlPPbS2, from the Alexandria database.

Cell: 5.312 5.312 5.336 Å, 90.00 90.00 90.00°
Space group P4/mmm (No. 123)
One atom of each set of equivalent atoms:
Tl: 0.000 0.000 0.000 [1 per cell]
P: 0.500 0.500 0.000 [1 per cell]
Pb: 0.500 0.500 0.500 [1 per cell]
S: 0.000 0.500 0.500 [2 per cell]

Properties
E above lowest polymorph = 0.0 meV per atom
Calculated total energy = -3.414 eV/atom

---

Record 7
The following is a GGA-PBE calculation of an optimized crystal structure of ZrAlTlHg2, from the Alexandria database.

Cell: 5.339 5.339 5.672 Å, 90.00 90.00 90.00°
Space group P4/mmm (No. 123)
One atom of each set of equivalent atoms:
Zr: 0.000 0.000 0.000 [1 per cell]
Al: 0.500 0.500 0.000 [1 per cell]
Tl: 0.000 0.000 0.500 [1 per cell]
Hg: 0.000 0.500 0.500 [2 per cell]

Properties
E above lowest polymorph = 220.7 meV per atom
Calculated total energy = -2.066 eV/atom

---

Record 8
The following is a GGA-PBE calculation of an optimized crystal structure of MnBe2CoH, from the Alexandria database.

Cell: 3.495 3.495 3.328 Å, 90.00 90.00 90.00°
Space group P4/mmm (No. 123)
One atom of each set of equivalent atoms:
Mn: 0.000 0.000 0.000 [1 per cell]
Be: 0.000 0.500 0.500 [2 per cell]
Co: 0.500 0.500 0.000 [1 per cell]
H: 0.000 0.000 0.500 [1 per cell]

Properties
E above lowest polymorph = 0.0 meV per atom
Calculated total energy = -5.424 eV/atom

---

Record 9
The following is a GGA-PBE calculation of an optimized crystal structure of Cs3RbAu, from the Alexandria database.

Cell: 11.0838 11.0838 21.3677 Å, 90.00 90.00 120.00°
Space group R3c (No. 161, hexagonal axes)
One atom of each set of equivalent atoms:
Cs: 0.1488 0.3696 0.0000 [18 per cell]
Rb: 0.0000 0.0000 0.1302 [6 per cell]
Au: 0.0000 0.0000 0.4486 [6 per cell]

Properties
E above lowest polymorph = 27.1 meV per atom
Calculated total energy = -1.481 eV/atom

---

Record 10
The following is a GGA-PBE calculation of an optimized crystal structure of Cu5Ru, from the Alexandria database.

Cell: 6.709 6.709 6.709 Å, 90.00 90.00 90.00°
Space group F-43m (No. 216)
One atom of each set of equivalent atoms:
Cu: 0.000 0.000 0.000 [4 per cell]
Cu: 0.125 0.125 0.375 [16 per cell]
Ru: 0.250 0.250 0.750 [4 per cell]

Properties
E above lowest polymorph = 176.2 meV per atom
Calculated total energy = -4.670 eV/atom

---

Record 11
The following is a GGA-PBE calculation of an optimized crystal structure of Te2IrRh, from the Alexandria database.

Cell: 6.797 6.797 6.797 Å, 90.00 90.00 90.00°
Space group F-43m (No. 216)
One atom of each set of equivalent atoms:
Te: 0.000 0.000 0.000 [4 per cell]
Te: 0.250 0.250 0.250 [4 per cell]
Ir: 0.000 0.000 0.500 [4 per cell]
Rh: 0.250 0.250 0.750 [4 per cell]

Properties
E above lowest polymorph = 815.9 meV per atom
Calculated total energy = -4.887 eV/atom

---

Record 12
The following is a GGA-PBE calculation of an optimized crystal structure of Ca3Ce2ErAs6, from the Alexandria database.

Cell: 7.316 12.680 7.248 Å, 90.00 109.68 90.00°
Space group C2/m (No. 12)
One atom of each set of equivalent atoms:
Ca: 0.000 0.000 0.000 [2 per cell]
Ca: 0.000 0.334 0.000 [4 per cell]
Ce: 0.000 0.166 0.500 [4 per cell]
Er: 0.000 0.500 0.500 [2 per cell]
As: 0.244 0.334 0.735 [8 per cell]
As: 0.246 0.000 0.735 [4 per cell]

Properties
Calculated total energy = -5.455 eV/atom

---

Record 13
The following is a GGA-PBE calculation of an optimized crystal structure of Ti4AgO8, from the Alexandria database.

Cell: 14.556 2.968 10.279 Å, 90.00 134.85 90.00°
Space group Cm (No. 8)
One atom of each set of equivalent atoms:
Ti: 0.000 0.000 0.000 [2 per cell]
Ti: 0.020 0.500 0.338 [2 per cell]
Ti: 0.183 0.000 0.703 [2 per cell]
Ti: 0.203 0.500 0.041 [2 per cell]
Ag: 0.351 0.500 0.519 [2 per cell]
O: 0.008 0.500 0.883 [2 per cell]
O: 0.016 0.500 0.145 [2 per cell]
O: 0.058 0.500 0.572 [2 per cell]
O: 0.145 0.000 0.470 [2 per cell]
O: 0.188 0.000 0.896 [2 per cell]
O: 0.195 0.000 0.159 [2 per cell]
O: 0.312 0.500 0.816 [2 per cell]
O: 0.391 0.500 0.226 [2 per cell]

Properties
Calculated total energy = -8.332 eV/atom

---

Record 14
The following is a GGA-PBE calculation of an optimized crystal structure of Zn3Hg3Bi, from the Alexandria database.

Cell: 7.439 7.439 7.439 Å, 90.00 90.00 90.00°
Space group Pm-3n (No. 223)
One atom of each set of equivalent atoms:
Zn: 0.000 0.250 0.500 [6 per cell]
Hg: 0.000 0.500 0.250 [6 per cell]
Bi: 0.000 0.000 0.000 [2 per cell]

Properties
Calculated total energy = -0.819 eV/atom

---

Record 15
The following is a GGA-PBE calculation of an optimized crystal structure of InTe2N2, from the Alexandria database.

Cell: 4.161 4.161 6.474 Å, 90.00 90.00 90.00°
Space group P4/mmm (No. 123)
One atom of each set of equivalent atoms:
In: 0.000 0.000 0.000 [1 per cell]
Te: 0.500 0.500 0.000 [1 per cell]
Te: 0.500 0.500 0.500 [1 per cell]
N: 0.000 0.500 0.500 [2 per cell]

Properties
E above lowest polymorph = 0.0 meV per atom
Calculated total energy = -3.912 eV/atom

---

Record 16
The following is a GGA-PBE calculation of an optimized crystal structure of Th4PaC4, from the Alexandria database.

Cell: 12.378 3.691 9.165 Å, 90.00 120.02 90.00°
Space group C2/m (No. 12)
One atom of each set of equivalent atoms:
Th: 0.103 0.000 0.390 [4 per cell]
Th: 0.204 0.500 0.806 [4 per cell]
Pa: 0.000 0.500 0.000 [2 per cell]
C: 0.097 0.000 0.916 [4 per cell]
C: 0.192 0.500 0.296 [4 per cell]

Properties
E above lowest polymorph = 0.0 meV per atom
Calculated total energy = -8.774 eV/atom

---

Record 17
The following is a GGA-PBE calculation of an optimized crystal structure of Ce2InTc, from the Alexandria database.

Cell: 3.9354 3.9354 24.3447 Å, 90.00 90.00 120.00°
Space group R-3m (No. 166, hexagonal axes)
One atom of each set of equivalent atoms:
Ce: 0.0000 0.0000 0.2305 [6 per cell]
In: 0.0000 0.0000 0.0000 [3 per cell]
Tc: 0.0000 0.0000 0.5000 [3 per cell]

Properties
E above lowest polymorph = 179.3 meV per atom
Calculated total energy = -6.278 eV/atom

---

Record 18
The following is a GGA-PBE calculation of an optimized crystal structure of VP3Br, from the Alexandria database.

Cell: 4.571 4.571 4.571 Å, 90.00 90.00 90.00°
Space group Pm-3m (No. 221)
One atom of each set of equivalent atoms:
V: 0.000 0.000 0.000 [1 per cell]
P: 0.000 0.000 0.500 [3 per cell]
Br: 0.500 0.500 0.500 [1 per cell]

Properties
E above lowest polymorph = 0.0 meV per atom
Calculated total energy = -5.119 eV/atom

---

Record 19
The following is a GGA-PBE calculation of an optimized crystal structure of Ac3Pr2SmTe6, from the Alexandria database.

Cell: 20.131 4.595 9.288 Å, 90.00 103.55 90.00°
Space group C2/m (No. 12)
One atom of each set of equivalent atoms:
Ac: 0.000 0.000 0.000 [2 per cell]
Ac: 0.168 0.500 0.334 [4 per cell]
Pr: 0.167 0.500 0.834 [4 per cell]
Sm: 0.000 0.000 0.500 [2 per cell]
Te: 0.002 0.500 0.738 [4 per cell]
Te: 0.161 0.000 0.588 [4 per cell]
Te: 0.169 0.000 0.077 [4 per cell]

Properties
Calculated total energy = -5.242 eV/atom

---

Record 20
The following is a GGA-PBE calculation of an optimized crystal structure of Li2InRu, from the Alexandria database.

Cell: 3.860 3.860 8.513 Å, 90.00 90.00 90.00°
Space group I4/mmm (No. 139)
One atom of each set of equivalent atoms:
Li: 0.000 0.500 0.250 [4 per cell]
In: 0.000 0.000 0.000 [2 per cell]
Ru: 0.000 0.000 0.500 [2 per cell]

Properties
Calculated total energy = -3.954 eV/atom

---

Record 21
The following is a GGA-PBE calculation of an optimized crystal structure of Ce2Zn3Hg2, from the Alexandria database.

Cell: 4.282 19.532 7.720 Å, 90.00 90.00 90.00°
Space group Cmcm (No. 63)
One atom of each set of equivalent atoms:
Ce: 0.000 0.056 0.250 [4 per cell]
Ce: 0.000 0.154 0.750 [4 per cell]
Zn: 0.000 0.228 0.250 [4 per cell]
Zn: 0.000 0.447 0.086 [8 per cell]
Hg: 0.000 0.319 0.553 [8 per cell]

Properties
Calculated total energy = -2.536 eV/atom

---

Record 22
The following is a GGA-PBE calculation of an optimized crystal structure of AcLaCd3, from the Alexandria database.

Cell: 3.760 31.087 5.123 Å, 90.00 90.00 90.00°
Space group Cmcm (No. 63)
One atom of each set of equivalent atoms:
Ac: 0.000 0.211 0.250 [4 per cell]
La: 0.000 0.071 0.750 [4 per cell]
Cd: 0.000 0.333 0.250 [4 per cell]
Cd: 0.000 0.384 0.750 [4 per cell]
Cd: 0.000 0.477 0.750 [4 per cell]

Properties
E above lowest polymorph = 3.4 meV per atom
Calculated total energy = -2.664 eV/atom

---

Record 23
The following is a GGA-PBE calculation of an optimized crystal structure of ZrSb3W, from the Alexandria database.

Cell: 5.251 5.251 5.251 Å, 90.00 90.00 90.00°
Space group Pm-3m (No. 221)
One atom of each set of equivalent atoms:
Zr: 0.000 0.000 0.000 [1 per cell]
Sb: 0.000 0.500 0.500 [3 per cell]
W: 0.500 0.500 0.500 [1 per cell]

Properties
E above lowest polymorph = 0.0 meV per atom
Calculated total energy = -5.851 eV/atom

---

Record 24
The following is a GGA-PBE calculation of an optimized crystal structure of CaCu2AgCl6, from the Alexandria database.

Cell: 12.649 11.836 6.778 Å, 90.00 102.44 90.00°
Space group C2/c (No. 15)
One atom of each set of equivalent atoms:
Ca: 0.000 0.101 0.250 [4 per cell]
Cu: 0.181 0.422 0.288 [8 per cell]
Ag: 0.000 0.283 0.750 [4 per cell]
Cl: 0.120 0.078 0.637 [8 per cell]
Cl: 0.121 0.262 0.110 [8 per cell]
Cl: 0.141 0.420 0.599 [8 per cell]

Properties
Calculated total energy = -3.456 eV/atom